Compound: TlCu2SeCl
Source: Alexandria via LeMat-Bulk
Functional: GGA-PBE
Structure: optimized geometry

Output
The crystal system is monoclinic. The uncorrected formation energy comes out at -33.4 kJ per mole of atoms. The density of states at the Fermi level comes out at 0.056 states/eV per atom.

a b c (Å): 7.468 3.972 9.292
angles (deg): 90.00 111.28 90.00
Space group P2_1/m (No. 11)
One atom of each set of equivalent atoms:
Tl (0.016, 0.250, 0.252) x2
Cu (0.427, 0.250, 0.538) x2
Cu (0.450, 0.250, 0.253) x2
Se (0.247, 0.750, 0.537) x2
Cl (0.321, 0.750, 0.118) x2